{"formula": "MgNbAg", "functional": "PBE", "state": "relaxed", "lattice": [[-1.544, -3.401, 1.835], [2.386, 0.712, 3.327], [-5.415, 1.806, 3.497]], "species": ["Mg", "Mg", "Nb", "Nb", "Ag", "Ag"], "fractional_positions": [[0.467, 0.749, 0.672], [0.967, 0.249, 0.672], [0.139, 0.748, 0.327], [0.639, 0.248, 0.327], [0.307, 0.248, 0.990], [0.807, 0.748, 0.990]], "magmom_total_mub_per_cell": 0.0, "de_polymorph_mev_per_atom": 95}


{"formula": "ZnCu2Ni", "functional": "PBE", "state": "relaxed", "lattice": [[-3.285, -1.195, 2.702], [-0.088, -4.413, 0.186], [3.320, 2.858, 0.569]], "species": ["Ni", "Zn", "Cu", "Cu"], "fractional_positions": [[0.500, 0.500, 0.000], [0.250, 0.750, 0.500], [0.000, 0.000, 0.000], [0.750, 0.250, 0.500]], "magmom_total_mub_per_cell": 0.0, "e_tot_ev_per_atom": -3.916}


{"formula": "CaP2Rh", "functional": "PBE", "state": "relaxed", "lattice": [[4.330, 0.045, -0.472], [-0.016, 4.330, -0.472], [0.023, 0.023, 9.002]], "species": ["P", "P", "P", "P", "Ca", "Ca", "Rh", "Rh"], "fractional_positions": [[0.911, 0.439, 0.242], [0.571, 0.444, 0.057], [0.444, 0.571, 0.557], [0.439, 0.911, 0.742], [0.925, 0.048, 0.500], [0.048, 0.925, 0.000], [0.517, 0.413, 0.805], [0.413, 0.517, 0.305]], "magmom_total_mub_per_cell": 0.0, "de_polymorph_mev_per_atom": 121}


{"formula": "LiPmPr6", "functional": "PBE", "state": "relaxed", "lattice": [[9.858, -0.018, 0.005], [4.935, 7.006, -0.512], [4.935, 2.052, 3.763]], "species": ["Pr", "Pr", "Pr", "Pr", "Pr", "Pr", "Li", "Pm"], "fractional_positions": [[0.232, 0.061, 0.272], [0.435, 0.767, 0.858], [0.565, 0.233, 0.142], [0.940, 0.566, 0.262], [0.060, 0.434, 0.738], [0.768, 0.939, 0.728], [0.000, 0.000, 0.000], [0.500, 0.500, 0.500]], "magmom_total_mub_per_cell": 0.0, "de_polymorph_mev_per_atom": 22}


{"formula": "Ba3Li4Mg2", "functional": "PBE", "state": "relaxed", "lattice": [[-1.134, 0.315, 5.139], [-0.376, -6.363, -2.397], [9.822, 1.053, 2.103]], "species": ["Mg", "Mg", "Ba", "Ba", "Ba", "Li", "Li", "Li", "Li"], "fractional_positions": [[0.692, 0.384, 0.773], [0.308, 0.616, 0.227], [0.625, 0.249, 0.379], [0.375, 0.751, 0.621], [0.000, 0.000, 0.000], [0.262, 0.524, 0.923], [0.913, 0.826, 0.355], [0.738, 0.476, 0.077], [0.087, 0.174, 0.645]], "magmom_total_mub_per_cell": 0.0, "e_tot_ev_per_atom": -1.842}


{"formula": "K2RbNa", "functional": "PBE", "state": "relaxed", "lattice": [[-0.747, 5.143, 3.959], [-5.240, -2.673, 2.483], [3.575, -2.892, 4.431]], "species": ["Rb", "K", "K", "Na"], "fractional_positions": [[0.500, 0.500, 0.500], [0.000, 0.500, 0.000], [0.000, 0.000, 0.500], [0.500, 0.000, 0.000]], "magmom_total_mub_per_cell": 0.0, "de_polymorph_mev_per_atom": 8}


{"formula": "Ag2I3Br4", "functional": "PBE", "state": "relaxed", "lattice": [[-4.019, -7.855, -5.089], [5.664, -2.631, 7.380], [-5.541, 3.183, 7.254]], "species": ["I", "I", "I", "I", "I", "I", "Br", "Br", "Br", "Br", "Br", "Br", "Br", "Br", "Ag", "Ag", "Ag", "Ag"], "fractional_positions": [[0.989, 0.953, 0.865], [0.489, 0.865, 0.953], [0.750, 0.586, 0.414], [0.011, 0.047, 0.135], [0.250, 0.414, 0.586], [0.511, 0.135, 0.047], [0.990, 0.210, 0.387], [0.510, 0.613, 0.790], [0.973, 0.596, 0.144], [0.010, 0.790, 0.613], [0.473, 0.144, 0.596], [0.490, 0.387, 0.210], [0.527, 0.856, 0.404], [0.027, 0.404, 0.856], [0.503, 0.884, 0.657], [0.003, 0.657, 0.884], [0.997, 0.343, 0.116], [0.497, 0.116, 0.343]], "magmom_total_mub_per_cell": 0.0, "e_tot_ev_per_atom": -2.004}


{"formula": "Ce4Pu2Ge3", "functional": "PBE", "state": "relaxed", "lattice": [[5.134, 0.000, 0.000], [-2.567, 4.418, -0.535], [0.000, 1.080, 8.967]], "species": ["Ce", "Ce", "Ce", "Ce", "Ge", "Ge", "Ge", "Pu", "Pu"], "fractional_positions": [[0.333, 0.666, 0.898], [0.000, 0.999, 0.669], [0.667, 0.334, 0.102], [0.000, 0.001, 0.331], [0.334, 0.667, 0.269], [0.666, 0.333, 0.731], [0.000, 0.000, 0.000], [0.667, 0.333, 0.390], [0.333, 0.667, 0.610]], "magmom_total_mub_per_cell": 12.3, "e_tot_ev_per_atom": -7.879}


{"formula": "PmInRu", "functional": "PBE", "state": "relaxed", "lattice": [[-2.080, 2.513, -1.057], [-2.540, -1.304, 1.898], [3.949, 2.602, 3.974]], "species": ["Pm", "In", "Ru"], "fractional_positions": [[0.263, 0.263, 0.526], [0.980, 0.980, 0.960], [0.607, 0.607, 0.214]], "magmom_total_mub_per_cell": 0.0, "de_polymorph_mev_per_atom": 91}


{"formula": "Li2ZrTa", "functional": "PBE", "state": "relaxed", "lattice": [[-2.270, 3.154, 2.928], [-1.202, -2.119, 1.351], [4.437, -0.205, 3.661]], "species": ["Li", "Li", "Ta", "Zr"], "fractional_positions": [[0.500, 0.373, 0.224], [0.000, 0.878, 0.032], [0.000, 0.375, 0.547], [0.500, 0.874, 0.697]], "magmom_total_mub_per_cell": 0.0, "de_polymorph_mev_per_atom": 158}


{"formula": "LiTcS2F", "functional": "PBE", "state": "relaxed", "lattice": [[4.617, 0.000, 0.000], [0.000, 3.241, 0.000], [0.000, 0.000, 4.617]], "species": ["Li", "F", "S", "S", "Tc"], "fractional_positions": [[0.000, 0.500, 0.000], [0.000, 0.000, 0.000], [0.000, 0.000, 0.500], [0.500, 0.000, 0.000], [0.500, 0.500, 0.500]], "magmom_total_mub_per_cell": 1.3, "e_tot_ev_per_atom": -4.562}


{"formula": "LiTa2Br", "functional": "PBE", "state": "relaxed", "lattice": [[-3.522, -6.685, 5.784], [-2.150, -8.489, 3.722], [-0.537, -7.323, 6.052]], "species": ["Ta", "Ta", "Li", "Br"], "fractional_positions": [[0.999, 0.999, 0.999], [0.243, 0.243, 0.243], [0.753, 0.753, 0.753], [0.505, 0.505, 0.505]], "magmom_total_mub_per_cell": 0.0, "de_polymorph_mev_per_atom": 104}


{"formula": "AlRe3", "functional": "PBE", "state": "relaxed", "lattice": [[4.920, 0.000, 0.000], [0.000, 4.920, 0.000], [0.000, 0.000, 4.920]], "species": ["Re", "Re", "Re", "Re", "Re", "Re", "Al", "Al"], "fractional_positions": [[0.250, 0.500, 0.000], [0.000, 0.750, 0.500], [0.750, 0.500, 0.000], [0.500, 0.000, 0.750], [0.000, 0.250, 0.500], [0.500, 0.000, 0.250], [0.000, 0.000, 0.000], [0.500, 0.500, 0.500]], "magmom_total_mub_per_cell": 0.0, "e_tot_ev_per_atom": -10.218}


{"formula": "Ba3Nd3YTe8", "functional": "PBE", "state": "relaxed", "lattice": [[-8.770, 2.704, 0.042], [3.277, -4.822, -7.082], [-1.354, -4.528, 8.392]], "species": ["Te", "Te", "Te", "Te", "Te", "Te", "Te", "Te", "Y", "Ba", "Ba", "Ba", "Nd", "Nd", "Nd"], "fractional_positions": [[0.256, 0.018, 0.281], [0.762, 0.525, 0.281], [0.238, 0.475, 0.719], [0.762, 0.018, 0.281], [0.258, 0.517, 0.275], [0.238, 0.982, 0.719], [0.744, 0.982, 0.719], [0.742, 0.483, 0.725], [0.000, 0.000, 0.500], [0.000, 0.000, 0.000], [0.500, 0.500, 0.000], [0.000, 0.500, 0.000], [0.000, 0.500, 0.500], [0.500, 0.000, 0.500], [0.500, 0.500, 0.500]], "magmom_total_mub_per_cell": 0.0, "e_tot_ev_per_atom": -5.016}


{"formula": "Y2InW", "functional": "PBE", "state": "relaxed", "lattice": [[3.140, 0.000, 0.000], [0.000, 6.026, 0.003], [0.000, 3.652, 5.067]], "species": ["Y", "Y", "In", "W"], "fractional_positions": [[0.500, 0.500, 0.000], [0.000, 0.000, 0.000], [0.500, 0.500, 0.500], [0.000, 0.000, 0.500]], "magmom_total_mub_per_cell": 0.0, "e_tot_ev_per_atom": -6.717}


{"formula": "LaCeGdHg", "functional": "PBE", "state": "relaxed", "lattice": [[5.473, 0.000, 0.000], [2.737, 4.740, 0.000], [2.737, 1.580, 4.469]], "species": ["Gd", "La", "Hg", "Ce"], "fractional_positions": [[0.500, 0.500, 0.500], [0.000, 0.000, 0.000], [0.250, 0.250, 0.250], [0.750, 0.750, 0.750]], "magmom_total_mub_per_cell": 10.5, "e_tot_ev_per_atom": -6.363}


{"formula": "Rb3SrSe", "functional": "PBE", "state": "relaxed", "lattice": [[-0.241, -5.876, -4.865], [-4.281, -3.924, 4.952], [-6.314, 2.885, -3.172]], "species": ["Sr", "Se", "Rb", "Rb", "Rb"], "fractional_positions": [[0.000, 0.000, 0.000], [0.500, 0.500, 0.500], [0.000, 0.000, 0.500], [0.000, 0.500, 0.000], [0.500, 0.000, 0.000]], "magmom_total_mub_per_cell": 1.0, "de_polymorph_mev_per_atom": 881}


{"formula": "Te2PAu", "functional": "PBE", "state": "relaxed", "lattice": [[1.918, -4.254, 0.000], [1.918, 4.254, 0.000], [0.000, 0.000, 7.726]], "species": ["P", "Te", "Te", "Au"], "fractional_positions": [[0.500, 0.500, 0.000], [0.000, 0.000, 0.240], [0.000, 0.000, 0.760], [0.500, 0.500, 0.500]], "magmom_total_mub_per_cell": 0.0, "e_tot_ev_per_atom": -3.378}


{"formula": "TbNdLu2", "functional": "PBE", "state": "relaxed", "lattice": [[3.547, 0.000, 0.000], [1.774, 3.072, 0.000], [1.774, 1.024, 11.445]], "species": ["Nd", "Tb", "Lu", "Lu"], "fractional_positions": [[0.500, 0.500, 0.500], [0.000, 0.000, 0.000], [0.251, 0.251, 0.247], [0.749, 0.749, 0.753]], "magmom_total_mub_per_cell": 0.0, "de_polymorph_mev_per_atom": 0}


{"formula": "BePbAu2", "functional": "PBE", "state": "relaxed", "lattice": [[0.000, 3.399, 3.399], [3.399, 0.000, 3.399], [3.399, 3.399, 0.000]], "species": ["Au", "Au", "Pb", "Be"], "fractional_positions": [[0.750, 0.750, 0.750], [0.250, 0.250, 0.250], [0.500, 0.500, 0.500], [0.000, 0.000, 0.000]], "magmom_total_mub_per_cell": 0.0, "de_polymorph_mev_per_atom": 374}


{"formula": "Ce3Hg4Au2", "functional": "PBE", "state": "relaxed", "lattice": [[-3.533, 2.914, -2.010], [-1.855, -5.554, 1.432], [1.188, 6.150, 6.828]], "species": ["Ce", "Ce", "Ce", "Au", "Au", "Hg", "Hg", "Hg", "Hg"], "fractional_positions": [[0.000, 0.000, 0.000], [0.331, 0.663, 0.338], [0.669, 0.337, 0.662], [0.392, 0.783, 0.724], [0.608, 0.217, 0.276], [0.717, 0.435, 0.054], [0.056, 0.112, 0.387], [0.283, 0.565, 0.946], [0.944, 0.888, 0.613]], "magmom_total_mub_per_cell": 3.3, "e_tot_ev_per_atom": -3.321}


{"formula": "NaGaFeSn2", "functional": "PBE", "state": "relaxed", "lattice": [[-4.435, -0.406, -2.185], [1.105, -4.634, -1.382], [-1.819, -1.625, 3.995]], "species": ["Na", "Ga", "Sn", "Sn", "Fe"], "fractional_positions": [[0.500, 0.500, 0.500], [0.000, 0.000, 0.500], [0.500, 0.000, 0.000], [0.000, 0.500, 0.000], [0.000, 0.000, 0.000]], "magmom_total_mub_per_cell": 1.9, "e_tot_ev_per_atom": -4.154}


{"formula": "Ta2CoHg", "functional": "PBE", "state": "relaxed", "lattice": [[5.103, -0.030, 0.000], [2.003, 4.693, 0.000], [-3.553, -2.332, 2.825]], "species": ["Co", "Ta", "Ta", "Hg"], "fractional_positions": [[0.500, 0.500, 0.000], [0.000, 0.000, 0.000], [0.250, 0.750, 0.500], [0.750, 0.250, 0.500]], "magmom_total_mub_per_cell": 1.9, "e_tot_ev_per_atom": -7.388}


{"formula": "NaEr2Rh", "functional": "PBE", "state": "relaxed", "lattice": [[-3.102, 0.922, 1.142], [0.631, -1.573, 2.984], [3.573, 7.838, 3.376]], "species": ["Er", "Er", "Rh", "Na"], "fractional_positions": [[0.000, 0.000, 0.827], [0.000, 0.000, 0.173], [0.500, 0.500, 0.000], [0.500, 0.500, 0.500]], "magmom_total_mub_per_cell": 0.0, "de_polymorph_mev_per_atom": 0}


{"formula": "V2WSe6", "functional": "PBE", "state": "relaxed", "lattice": [[-0.302, 2.271, -2.412], [-1.532, -5.719, -5.192], [-6.562, 2.119, 5.111]], "species": ["V", "V", "W", "Se", "Se", "Se", "Se", "Se", "Se"], "fractional_positions": [[0.148, 0.285, 0.295], [0.852, 0.715, 0.705], [0.500, 0.000, 0.000], [0.333, 0.922, 0.666], [0.320, 0.451, 0.640], [0.001, 0.751, 0.002], [0.680, 0.549, 0.360], [0.999, 0.249, 0.998], [0.667, 0.078, 0.334]], "magmom_total_mub_per_cell": 0.0, "e_tot_ev_per_atom": -6.392}


{"formula": "BaSb2N2", "functional": "PBE", "state": "relaxed", "lattice": [[3.149, 0.000, -1.302], [-0.767, 7.755, -1.854], [0.059, -0.195, 4.601]], "species": ["Sb", "Sb", "N", "N", "Ba"], "fractional_positions": [[0.836, 0.358, 0.672], [0.164, 0.642, 0.328], [0.365, 0.205, 0.729], [0.635, 0.795, 0.271], [0.000, 0.000, 0.000]], "magmom_total_mub_per_cell": 0.0, "e_tot_ev_per_atom": -5.331}